No. 1
MgAlTc2N (PBE-GGA, relaxed); DOS at the Fermi energy = 5.0 states/eV per cell; energy relative to the elements, uncorrected = 11.0 eV per formula unit; volume = 100.2 Å³/cell
1.0
4.5503 0.0000 0.0000
0.0000 4.5503 0.0000
0.0000 0.0000 4.8406
Mg Al Tc N
1 1 2 1
Direct
0.0000 0.0000 0.0000 Mg
0.0000 0.0000 0.5000 Al
0.0000 0.5000 0.5000 Tc
0.5000 0.0000 0.5000 Tc
0.5000 0.5000 0.0000 N

---

No. 2
LiYRh2 (PBE-GGA, relaxed); DOS at the Fermi energy = 3.5 states/eV per cell; formation energy = -0.449 eV per atom; volume = 66.9 Å³/cell
1.0
4.1661 0.0000 0.0000
0.0000 4.1661 0.0000
0.0000 0.0000 3.8537
Li Y Rh
1 1 2
Direct
0.0000 0.0000 0.0000 Li
0.5000 0.5000 0.0000 Y
0.0000 0.5000 0.5000 Rh
0.5000 0.0000 0.5000 Rh

---

No. 3
La8DyTh3 (PBE-GGA, relaxed); DOS at the Fermi energy = 20.2 states/eV per cell; formation energy = 0.030 eV per atom; volume = 422.8 Å³/cell
1.0
6.3864 0.0000 0.0000
-3.1932 5.5308 0.0000
0.0000 0.0000 11.9700
La Dy Th
8 1 3
Direct
0.0000 0.3321 0.2410 La
0.0000 0.6679 0.7590 La
0.3321 0.0000 0.2410 La
0.3321 0.3321 0.7590 La
0.3333 0.6667 0.5000 La
0.6667 0.3333 0.5000 La
0.6679 0.0000 0.7590 La
0.6679 0.6679 0.2410 La
0.0000 0.0000 0.5000 Dy
0.0000 0.0000 0.0000 Th
0.3333 0.6667 0.0000 Th
0.6667 0.3333 0.0000 Th

---

No. 4
CaCeIn2 (PBE-GGA, relaxed); DOS at the Fermi energy = 7.7 states/eV per cell; formation energy = -0.390 eV per atom; volume = 116.0 Å³/cell
1.0
5.5037 0.0000 0.0000
0.0000 5.5037 0.0000
0.0000 0.0000 3.8297
Ca Ce In
1 1 2
Direct
0.0000 0.0000 0.0000 Ca
0.5000 0.5000 0.0000 Ce
0.0000 0.5000 0.5000 In
0.5000 0.0000 0.5000 In

---

No. 5
LaZr5 (PBE-GGA, relaxed); DOS at the Fermi energy = 5.9 states/eV per cell; formation energy = 0.098 eV per atom; volume = 150.1 Å³/cell
1.0
5.2941 0.0000 0.0000
0.0000 1.6230 8.7325
0.0000 -1.6230 8.7325
La Zr
1 5
Direct
0.0000 0.0000 0.0000 La
0.0000 0.3280 0.3280 Zr
0.0000 0.6743 0.6743 Zr
0.5000 0.1130 0.1130 Zr
0.5000 0.4302 0.4302 Zr
0.5000 0.7738 0.7738 Zr

---

No. 6
K3Cu2BiBr9 (PBE-GGA, relaxed); DOS at the Fermi energy = 5.6 states/eV per cell; energy relative to the elements, uncorrected = -14.3 eV per formula unit; volume = 475.2 Å³/cell
1.0
7.6007 0.0000 0.0000
-3.8003 6.5824 0.0000
0.0000 0.0000 9.4973
K Cu Bi Br
3 2 1 9
Direct
0.0000 0.0000 0.0000 K
0.3333 0.6667 0.7098 K
0.6667 0.3333 0.2902 K
0.3333 0.6667 0.1438 Cu
0.6667 0.3333 0.8562 Cu
0.0000 0.0000 0.5000 Bi
0.0000 0.5000 0.0000 Br
0.1733 0.3466 0.3190 Br
0.1733 0.8267 0.3190 Br
0.3466 0.1733 0.6810 Br
0.5000 0.0000 0.0000 Br
0.5000 0.5000 0.0000 Br
0.6534 0.8267 0.3190 Br
0.8267 0.1733 0.6810 Br
0.8267 0.6534 0.6810 Br

---

No. 7
Na2CdSiTe4 (PBE-GGA, relaxed); DOS at the Fermi energy = 7.7 states/eV per cell; energy relative to the elements, uncorrected = -2.7 eV per formula unit; volume = 454.8 Å³/cell
1.0
-4.0004 4.5961 6.1835
4.0004 -4.5961 6.1835
4.0004 4.5961 -6.1835
Na Cd Si Te
4 2 2 8
Direct
0.0000 0.0000 0.0000 Na
0.5000 0.0000 0.0000 Na
0.5000 0.0000 0.5000 Na
0.5000 0.5000 0.5000 Na
0.0000 0.5000 0.5000 Cd
0.5000 0.5000 0.0000 Cd
0.0000 0.0000 0.5000 Si
0.0000 0.5000 0.0000 Si
0.2129 0.2499 0.9630 Te
0.2132 0.7501 0.4630 Te
0.2296 0.2367 0.5071 Te
0.2296 0.7224 0.9929 Te
0.7704 0.2776 0.0071 Te
0.7704 0.7633 0.4929 Te
0.7868 0.2499 0.5370 Te
0.7871 0.7501 0.0370 Te

---

No. 8
NbAlCo (PBE-GGA, relaxed); DOS at the Fermi energy = 3.0 states/eV per cell; formation energy = -0.351 eV per atom; volume = 42.5 Å³/cell
1.0
-1.4311 1.4311 5.1908
1.4311 -1.4311 5.1908
1.4311 1.4311 -5.1908
Nb Al Co
1 1 1
Direct
0.0000 0.0000 0.0000 Nb
0.3037 0.3037 0.0000 Al
0.6696 0.6696 0.0000 Co